# 1
First-principles (PBE-GGA) data for a relaxed structure of ZrNiW2, as listed in the Alexandria database.

Unit cell a=3.244 b=3.244 c=6.214 alpha=90.00 beta=90.00 gamma=90.00
Sites, in units of the cell vectors:
Ni1 0.500 0.500 0.763
W1 0.000 0.000 0.999
W2 0.500 0.500 0.227
Zr1 0.000 0.000 0.512

Output
ΔE to the lowest computed polymorph: 0.0 meV per atom
ΔH_f (0 K): 0.0350 eV per atom
size of the total moment: 0.00 μB/cell

# 2
First-principles (PBE-GGA) data for a relaxed structure of SiNiI3, as listed in the Alexandria database.

Unit cell a=5.239 b=5.239 c=5.239 alpha=90.00 beta=90.00 gamma=90.00
Sites, in units of the cell vectors:
I1 0.000 0.500 0.000
I2 0.000 0.000 0.500
I3 0.500 0.000 0.000
Ni1 0.000 0.000 0.000
Si1 0.500 0.500 0.500

Output
ΔE to the lowest computed polymorph: 0.0 meV per atom
formation energy (no corrections): 499 meV per atom
size of the total moment: 0.35 μB/cell

# 3
First-principles (PBE-GGA) data for a relaxed structure of Dy14ThSc, as listed in the Alexandria database.

Unit cell a=7.054 b=7.054 c=9.969 alpha=90.00 beta=90.00 gamma=89.99
Sites, in units of the cell vectors:
Dy1 0.375 0.625 0.500
Dy2 0.875 0.125 0.500
Dy3 0.875 0.625 0.000
Dy4 0.875 0.625 0.500
Dy5 0.375 0.125 0.000
Dy6 0.375 0.125 0.500
Dy7 0.625 0.875 0.754
Dy8 0.625 0.875 0.246
Dy9 0.125 0.375 0.754
Dy10 0.125 0.375 0.246
Dy11 0.125 0.875 0.754
Dy12 0.125 0.875 0.246
Dy13 0.625 0.375 0.754
Dy14 0.625 0.375 0.246
Th1 0.875 0.125 0.000
Sc1 0.375 0.625 0.000

Output
ΔH_f (0 K): 0.0228 eV per atom
size of the total moment: 0.00 μB/cell

# 4
First-principles (PBE-GGA) data for a relaxed structure of Na3Er2TlO6, as listed in the Alexandria database.

Unit cell a=5.859 b=5.859 c=5.952 alpha=99.48 beta=99.48 gamma=119.96
Sites, in units of the cell vectors:
Na1 0.162 0.838 0.500
Na2 0.838 0.162 0.500
Na3 0.500 0.500 0.500
Er1 0.333 0.667 0.000
Er2 0.667 0.333 0.000
Tl1 0.000 0.000 0.000
O1 0.928 0.584 0.783
O2 0.729 0.729 0.218
O3 0.072 0.416 0.217
O4 0.584 0.928 0.783
O5 0.271 0.271 0.782
O6 0.416 0.072 0.217

Output
formation energy (no corrections): -2234 meV per atom
size of the total moment: 0.00 μB/cell

# 5
First-principles (PBE-GGA) data for a relaxed structure of TmMgHgSb, as listed in the Alexandria database.

Unit cell a=5.190 b=5.190 c=5.190 alpha=60.00 beta=60.00 gamma=60.00
Sites, in units of the cell vectors:
Sb1 0.000 0.000 0.000
Mg1 0.750 0.750 0.750
Tm1 0.250 0.250 0.250
Hg1 0.500 0.500 0.500

Output
formation energy (no corrections): -365 meV per atom
size of the total moment: 0.00 μB/cell

# 6
First-principles (PBE-GGA) data for a relaxed structure of SrCuSnHg, as listed in the Alexandria database.

Unit cell a=5.177 b=5.177 c=5.177 alpha=60.00 beta=60.00 gamma=60.00
Sites, in units of the cell vectors:
Sr1 0.750 0.750 0.750
Hg1 0.000 0.000 0.000
Cu1 0.500 0.500 0.500
Sn1 0.250 0.250 0.250

Output
ΔH_f (0 K): -0.2036 eV per atom
size of the total moment: 0.00 μB/cell

# 7
First-principles (PBE-GGA) data for a relaxed structure of NdZn9Ni2, as listed in the Alexandria database.

Unit cell a=3.449 b=8.119 c=8.119 alpha=120.00 beta=90.00 gamma=90.00
Sites, in units of the cell vectors:
Nd1 0.000 0.000 0.000
Zn1 0.500 0.802 0.198
Zn2 0.000 0.000 0.500
Zn3 0.000 0.500 0.500
Zn4 0.500 0.802 0.603
Zn5 0.500 0.198 0.802
Zn6 0.500 0.603 0.802
Zn7 0.500 0.198 0.397
Zn8 0.000 0.500 0.000
Zn9 0.500 0.397 0.198
Ni1 0.000 0.667 0.333
Ni2 0.000 0.333 0.667

Output
ΔE to the lowest computed polymorph: 111.3 meV per atom
ΔH_f (0 K): -0.1655 eV per atom
size of the total moment: 0.00 μB/cell

# 8
First-principles (PBE-GGA) data for a relaxed structure of DyCdRh, as listed in the Alexandria database.

Unit cell a=3.525 b=3.525 c=5.611 alpha=108.31 beta=108.31 gamma=90.00
Sites, in units of the cell vectors:
Dy1 0.932 0.932 0.863
Rh1 0.288 0.288 0.575
Cd1 0.631 0.631 0.262

Output
ΔH_f (0 K): -0.4976 eV per atom
size of the total moment: 0.00 μB/cell

# 9
First-principles (PBE-GGA) data for a relaxed structure of Th3MgCo8, as listed in the Alexandria database.

Unit cell a=5.048 b=5.048 c=8.856 alpha=73.44 beta=73.44 gamma=60.00
Sites, in units of the cell vectors:
Th1 0.377 0.377 0.869
Th2 0.993 0.993 0.020
Th3 0.505 0.505 0.485
Mg1 0.873 0.873 0.382
Co1 0.936 0.435 0.193
Co2 0.443 0.938 0.681
Co3 0.435 0.435 0.193
Co4 0.938 0.938 0.681
Co5 0.189 0.189 0.434
Co6 0.687 0.687 0.939
Co7 0.435 0.936 0.193
Co8 0.938 0.443 0.681

Output
ΔH_f (0 K): -0.1633 eV per atom
size of the total moment: 4.62 μB/cell

# 10
First-principles (PBE-GGA) data for a relaxed structure of LiLuC, as listed in the Alexandria database.

Unit cell a=3.921 b=3.921 c=3.921 alpha=60.00 beta=60.00 gamma=60.00
Sites, in units of the cell vectors:
C1 0.250 0.250 0.250
Lu1 0.000 0.000 0.000
Li1 0.500 0.500 0.500

Output
ΔH_f (0 K): -0.2032 eV per atom
size of the total moment: 0.00 μB/cell

# 11
First-principles (PBE-GGA) data for a relaxed structure of Nd2Sm3Dy2, as listed in the Alexandria database.

Unit cell a=3.531 b=8.740 c=8.986 alpha=118.46 beta=101.33 gamma=90.00
Sites, in units of the cell vectors:
Nd1 0.855 0.676 0.709
Nd2 0.145 0.324 0.291
Sm1 0.000 0.500 0.000
Sm2 0.213 0.805 0.426
Sm3 0.787 0.195 0.574
Dy1 0.564 0.906 0.129
Dy2 0.436 0.094 0.871

Output
ΔE to the lowest computed polymorph: 88.2 meV per atom
ΔH_f (0 K): 0.1027 eV per atom
size of the total moment: 0.00 μB/cell

# 12
First-principles (PBE-GGA) data for a relaxed structure of HoEr4Tl7, as listed in the Alexandria database.

Unit cell a=5.640 b=9.815 c=7.316 alpha=80.81 beta=67.33 gamma=73.30
Sites, in units of the cell vectors:
Ho1 0.000 0.000 0.000
Er1 0.583 0.217 0.616
Er2 0.417 0.783 0.384
Er3 0.718 0.674 0.890
Er4 0.282 0.326 0.110
Tl1 0.787 0.895 0.531
Tl2 0.213 0.105 0.469
Tl3 0.082 0.672 0.164
Tl4 0.918 0.328 0.836
Tl5 0.366 0.546 0.722
Tl6 0.500 0.000 0.000
Tl7 0.634 0.454 0.278

Output
ΔH_f (0 K): -0.0857 eV per atom
size of the total moment: 0.00 μB/cell

- The highest size of the total moment belongs to which entry?
  Th3MgCo8

- What is the formula in the seventh record?
  NdZn9Ni2

- What is the size of the total moment in the sixth record?
  0.00 μB/cell